1.
First-principles (PBE) data for Rb2Ir3Se6 after structural relaxation, as listed in Alexandria via LeMat-Bulk. Values from VASP.

```
&SYSTEM
  ibrav = 0, nat = 11, ntyp = 3
/
ATOMIC_SPECIES
Rb 85.47 Rb.upf
Ir 192.22 Ir.upf
Se 78.96 Se.upf
ATOMIC_POSITIONS crystal
Rb 0.167 0.833 0.000
Rb 0.833 0.167 0.000
Ir 0.000 0.000 0.500
Ir 0.332 0.668 0.500
Ir 0.668 0.332 0.500
Se 0.055 0.386 0.659
Se 0.282 0.282 0.340
Se 0.386 0.055 0.659
Se 0.614 0.945 0.341
Se 0.718 0.718 0.660
Se 0.945 0.614 0.341
CELL_PARAMETERS angstrom
3.332 -5.772 0.000
3.332 5.772 0.000
-2.223 0.000 7.625
```

Calculated values
ΔE_f (raw) ... -5.9 eV/f.u.
VASP energy ... -5.03 eV per atom
Space-group type ... C2/m



2.
First-principles (PBE) data for RbIr3Se after structural relaxation, as listed in Alexandria via LeMat-Bulk. Values from VASP.

```
&SYSTEM
  ibrav = 0, nat = 5, ntyp = 3
/
ATOMIC_SPECIES
Rb 85.47 Rb.upf
Ir 192.22 Ir.upf
Se 78.96 Se.upf
ATOMIC_POSITIONS crystal
Rb 0.000 0.000 0.000
Ir 0.000 0.000 0.500
Ir 0.000 0.500 0.000
Ir 0.500 0.000 0.000
Se 0.500 0.500 0.500
CELL_PARAMETERS angstrom
4.903 0.000 0.000
0.000 4.903 0.000
0.000 0.000 4.903
```

Calculated values
ΔE_f (raw) ... 16.8 eV/f.u.
VASP energy ... -2.84 eV per atom
Space-group type ... Pm-3m



3.
First-principles (PBE) data for RbIrSe2 after structural relaxation, as listed in Alexandria via LeMat-Bulk. Values from VASP.

```
&SYSTEM
  ibrav = 0, nat = 16, ntyp = 3
/
ATOMIC_SPECIES
Rb 85.47 Rb.upf
Ir 192.22 Ir.upf
Se 78.96 Se.upf
ATOMIC_POSITIONS crystal
Rb 0.000 0.000 0.000
Rb 0.000 0.500 0.500
Rb 0.500 0.000 0.500
Rb 0.500 0.500 0.000
Ir 0.000 0.000 0.500
Ir 0.000 0.500 0.000
Ir 0.500 0.000 0.000
Ir 0.500 0.500 0.500
Se 0.250 0.250 0.250
Se 0.250 0.250 0.750
Se 0.250 0.750 0.250
Se 0.250 0.750 0.750
Se 0.750 0.250 0.250
Se 0.750 0.250 0.750
Se 0.750 0.750 0.250
Se 0.750 0.750 0.750
CELL_PARAMETERS angstrom
6.985 0.000 0.000
0.000 6.985 0.000
0.000 0.000 6.985
```

Calculated values
ΔE_f (raw) ... 1.9 eV/f.u.
VASP energy ... -3.73 eV per atom
Space-group type ... Fm-3m



4.
First-principles (PBE) data for Rb2IrSe after structural relaxation, as listed in Alexandria via LeMat-Bulk. Values from VASP.

```
&SYSTEM
  ibrav = 0, nat = 16, ntyp = 3
/
ATOMIC_SPECIES
Rb 85.47 Rb.upf
Ir 192.22 Ir.upf
Se 78.96 Se.upf
ATOMIC_POSITIONS crystal
Rb 0.249 0.250 0.125
Rb 0.250 0.749 0.375
Rb 0.250 0.751 0.875
Rb 0.251 0.250 0.625
Rb 0.749 0.750 0.625
Rb 0.750 0.249 0.875
Rb 0.750 0.251 0.375
Rb 0.751 0.750 0.125
Ir 0.000 0.000 0.000
Ir 0.000 0.500 0.250
Ir 0.500 0.000 0.750
Ir 0.500 0.500 0.500
Se 0.000 0.000 0.500
Se 0.000 0.500 0.750
Se 0.500 0.000 0.250
Se 0.500 0.500 0.000
CELL_PARAMETERS angstrom
4.408 0.000 0.000
0.000 4.408 0.000
0.000 0.000 22.733
```

Calculated values
ΔE_f (raw) ... 2.8 eV/f.u.
VASP energy ... -2.86 eV per atom
Space-group type ... I-42d



5.
First-principles (PBE) data for Rb2IrSe2 after structural relaxation, as listed in Alexandria via LeMat-Bulk. Values from VASP.

```
&SYSTEM
  ibrav = 0, nat = 10, ntyp = 3
/
ATOMIC_SPECIES
Rb 85.47 Rb.upf
Ir 192.22 Ir.upf
Se 78.96 Se.upf
ATOMIC_POSITIONS crystal
Rb 0.143 0.357 0.000
Rb 0.357 0.857 0.000
Rb 0.643 0.143 0.000
Rb 0.857 0.643 0.000
Ir 0.000 0.000 0.000
Ir 0.500 0.500 0.000
Se 0.155 0.655 0.500
Se 0.345 0.155 0.500
Se 0.655 0.845 0.500
Se 0.845 0.345 0.500
CELL_PARAMETERS angstrom
10.416 0.000 0.000
0.000 10.416 0.000
0.000 0.000 2.881
```

Calculated values
ΔE_f (raw) ... 2.4 eV/f.u.
VASP energy ... -3.06 eV per atom
Space-group type ... P4/mbm



6.
First-principles (PBE) data for RbIr2Se2 after structural relaxation, as listed in Alexandria via LeMat-Bulk. Values from VASP.

```
&SYSTEM
  ibrav = 0, nat = 10, ntyp = 3
/
ATOMIC_SPECIES
Rb 85.47 Rb.upf
Ir 192.22 Ir.upf
Se 78.96 Se.upf
ATOMIC_POSITIONS crystal
Rb 0.000 0.000 0.000
Rb 0.500 0.500 0.500
Ir 0.000 0.500 0.250
Ir 0.000 0.500 0.750
Ir 0.500 0.000 0.250
Ir 0.500 0.000 0.750
Se 0.000 0.000 0.355
Se 0.000 0.000 0.645
Se 0.500 0.500 0.145
Se 0.500 0.500 0.855
CELL_PARAMETERS angstrom
4.038 0.000 0.000
0.000 4.038 0.000
0.000 0.000 14.201
```

Calculated values
ΔE_f (raw) ... -0.8 eV/f.u.
VASP energy ... -5.29 eV per atom
Space-group type ... I4/mmm



7.
First-principles (PBE) data for RbIr3Se after structural relaxation, as listed in Alexandria via LeMat-Bulk. Values from VASP.

```
&SYSTEM
  ibrav = 0, nat = 5, ntyp = 3
/
ATOMIC_SPECIES
Rb 85.47 Rb.upf
Ir 192.22 Ir.upf
Se 78.96 Se.upf
ATOMIC_POSITIONS crystal
Rb 0.000 0.000 0.000
Ir 0.000 0.500 0.500
Ir 0.500 0.000 0.500
Ir 0.500 0.500 0.000
Se 0.500 0.500 0.500
CELL_PARAMETERS angstrom
4.752 0.000 0.000
0.000 4.752 0.000
0.000 0.000 4.752
```

Calculated values
ΔE_f (raw) ... 5.9 eV/f.u.
VASP energy ... -5.03 eV per atom
Space-group type ... Pm-3m



8.
First-principles (PBE) data for RbIrSe2 after structural relaxation, as listed in Alexandria via LeMat-Bulk. Values from VASP.

```
&SYSTEM
  ibrav = 0, nat = 12, ntyp = 3
/
ATOMIC_SPECIES
Rb 85.47 Rb.upf
Ir 192.22 Ir.upf
Se 78.96 Se.upf
ATOMIC_POSITIONS crystal
Rb 0.000 0.000 0.000
Rb 0.333 0.667 0.667
Rb 0.667 0.333 0.333
Ir 0.000 0.000 0.831
Ir 0.333 0.667 0.497
Ir 0.667 0.333 0.164
Se 0.000 0.000 0.217
Se 0.000 0.000 0.445
Se 0.333 0.667 0.112
Se 0.333 0.667 0.884
Se 0.667 0.333 0.550
Se 0.667 0.333 0.778
CELL_PARAMETERS angstrom
3.933 0.000 0.000
-1.967 3.406 0.000
0.000 0.000 22.235
```

Calculated values
ΔE_f (raw) ... -2.4 eV/f.u.
VASP energy ... -4.79 eV per atom
Space-group type ... R3m



9.
First-principles (PBE) data for Rb3IrSe after structural relaxation, as listed in Alexandria via LeMat-Bulk. Values from VASP.

```
&SYSTEM
  ibrav = 0, nat = 5, ntyp = 3
/
ATOMIC_SPECIES
Rb 85.47 Rb.upf
Ir 192.22 Ir.upf
Se 78.96 Se.upf
ATOMIC_POSITIONS crystal
Rb 0.000 0.000 0.500
Rb 0.000 0.500 0.000
Rb 0.500 0.000 0.000
Ir 0.500 0.500 0.500
Se 0.000 0.000 0.000
CELL_PARAMETERS angstrom
6.533 0.000 0.000
0.000 6.533 0.000
0.000 0.000 6.533
```

Calculated values
ΔE_f (raw) ... 1.6 eV/f.u.
VASP energy ... -2.73 eV per atom
Space-group type ... Pm-3m



10.
First-principles (PBE) data for Rb2TiIrSe after structural relaxation, as listed in Alexandria via LeMat-Bulk. Values from VASP.

```
&SYSTEM
  ibrav = 0, nat = 5, ntyp = 4
/
ATOMIC_SPECIES
Rb 85.47 Rb.upf
Ti 47.87 Ti.upf
Ir 192.22 Ir.upf
Se 78.96 Se.upf
ATOMIC_POSITIONS crystal
Rb 0.000 0.500 0.000
Rb 0.500 0.000 0.000
Ti 0.000 0.000 0.500
Ir 0.500 0.500 0.500
Se 0.500 0.500 0.000
CELL_PARAMETERS angstrom
6.731 0.000 0.000
0.000 6.731 0.000
0.000 0.000 4.511
```

Calculated values
ΔE_f (raw) ... 3.7 eV/f.u.
VASP energy ... -3.70 eV per atom
Space-group type ... P4/mmm



11.
First-principles (PBE) data for RbTi2IrSe after structural relaxation, as listed in Alexandria via LeMat-Bulk. Values from VASP.

```
&SYSTEM
  ibrav = 0, nat = 5, ntyp = 4
/
ATOMIC_SPECIES
Rb 85.47 Rb.upf
Ti 47.87 Ti.upf
Ir 192.22 Ir.upf
Se 78.96 Se.upf
ATOMIC_POSITIONS crystal
Rb 0.000 0.000 0.000
Ti 0.000 0.500 0.000
Ti 0.500 0.000 0.000
Ir 0.500 0.500 0.500
Se 0.000 0.000 0.500
CELL_PARAMETERS angstrom
4.638 0.000 0.000
0.000 4.638 0.000
0.000 0.000 5.319
```

Calculated values
ΔE_f (raw) ... 11.8 eV/f.u.
VASP energy ... -3.45 eV per atom
Space-group type ... P4/mmm



12.
First-principles (PBE) data for Rb3U3IrSe8 after structural relaxation, as listed in Alexandria via LeMat-Bulk. Values from VASP.

```
&SYSTEM
  ibrav = 0, nat = 15, ntyp = 4
/
ATOMIC_SPECIES
Rb 85.47 Rb.upf
U 238.03 U.upf
Ir 192.22 Ir.upf
Se 78.96 Se.upf
ATOMIC_POSITIONS crystal
Rb 0.000 0.500 0.500
Rb 0.500 0.000 0.500
Rb 0.500 0.500 0.000
U 0.000 0.000 0.500
U 0.000 0.500 0.000
U 0.500 0.000 0.000
Ir 0.500 0.500 0.500
Se 0.235 0.235 0.235
Se 0.255 0.715 0.715
Se 0.285 0.285 0.745
Se 0.285 0.745 0.285
Se 0.715 0.255 0.715
Se 0.715 0.715 0.255
Se 0.745 0.285 0.285
Se 0.765 0.765 0.765
CELL_PARAMETERS angstrom
4.018 2.320 8.392
-4.018 2.320 8.392
0.000 -4.639 8.392
```

Calculated values
ΔE_f (raw) ... -15.3 eV/f.u.
VASP energy ... -5.92 eV per atom
Space-group type ... R-3m